1.
Below is a relaxed SrLiMg2Zn2 crystal, with properties calculated at the PBE level.

abc: 4.776 4.776 7.246
angles: 90.00 90.00 120.00
Atoms (fractional coordinates):
Sr (0.000, 0.000, 0.000)
Li (0.000, 0.000, 0.500)
Mg (0.333, 0.667, 0.659)
Mg (0.667, 0.333, 0.341)
Zn (0.333, 0.667, 0.277)
Zn (0.667, 0.333, 0.723)

density of states at the Fermi level: 0.48 states/eV/atom
space group: P-3m1
energy relative to the elements: -0.1386 eV/atom
raw total energy: -1.69 eV/atom

***

2.
Below is a relaxed Sr2Li3Mg12Zn crystal, with properties calculated at the PBE level.

abc: 15.028 15.028 15.028
angles: 24.03 24.03 24.03
Atoms (fractional coordinates):
Sr (0.148, 0.148, 0.148)
Sr (0.852, 0.852, 0.852)
Li (0.000, 0.500, 0.500)
Li (0.500, 0.000, 0.500)
Li (0.500, 0.500, 0.000)
Mg (0.107, 0.107, 0.621)
Mg (0.107, 0.621, 0.107)
Mg (0.114, 0.612, 0.612)
Mg (0.379, 0.893, 0.893)
Mg (0.388, 0.388, 0.886)
Mg (0.388, 0.886, 0.388)
Mg (0.612, 0.114, 0.612)
Mg (0.612, 0.612, 0.114)
Mg (0.621, 0.107, 0.107)
Mg (0.886, 0.388, 0.388)
Mg (0.893, 0.379, 0.893)
Mg (0.893, 0.893, 0.379)
Zn (0.500, 0.500, 0.500)

density of states at the Fermi level: 0.51 states/eV/atom
space group: R-3m
energy relative to the elements: 0.1203 eV/atom
raw total energy: -1.52 eV/atom

***

3.
Below is a relaxed SrLiMg2Zn4 crystal, with properties calculated at the PBE level.

abc: 9.515 9.515 9.515
angles: 28.07 28.07 28.07
Atoms (fractional coordinates):
Sr (0.000, 0.000, 0.000)
Li (0.500, 0.500, 0.500)
Mg (0.236, 0.236, 0.236)
Mg (0.764, 0.764, 0.764)
Zn (0.131, 0.131, 0.131)
Zn (0.403, 0.403, 0.403)
Zn (0.597, 0.597, 0.597)
Zn (0.869, 0.869, 0.869)

density of states at the Fermi level: 0.51 states/eV/atom
space group: R-3m
energy relative to the elements: -0.1222 eV/atom
raw total energy: -1.61 eV/atom

***

4.
Below is a relaxed Sr2Li6MgZn crystal, with properties calculated at the PBE level.

abc: 7.373 7.373 7.373
angles: 120.03 120.01 89.97
Atoms (fractional coordinates):
Sr (0.250, 0.250, 0.000)
Sr (0.750, 0.750, 0.000)
Li (0.262, 0.237, 0.499)
Li (0.262, 0.762, 0.500)
Li (0.262, 0.763, 0.024)
Li (0.738, 0.237, 0.976)
Li (0.738, 0.238, 0.500)
Li (0.738, 0.763, 0.501)
Mg (0.000, 0.500, 0.500)
Zn (0.500, 0.000, 0.500)

density of states at the Fermi level: 0.72 states/eV/atom
space group: Immm
energy relative to the elements: 0.0794 eV/atom
raw total energy: -1.69 eV/atom

***

5.
Below is a relaxed Li2MgTa4 crystal, with properties calculated at the PBE level.

abc: 7.230 7.230 7.230
angles: 142.29 142.29 54.40
Atoms (fractional coordinates):
Li (0.112, 0.112, 0.000)
Li (0.888, 0.888, 0.000)
Mg (0.500, 0.500, 0.000)
Ta (0.000, 0.500, 0.500)
Ta (0.308, 0.308, 0.000)
Ta (0.500, 0.000, 0.500)
Ta (0.692, 0.692, 0.000)

density of states at the Fermi level: 0.97 states/eV/atom
space group: I4/mmm
energy relative to the elements: 1.9423 eV/atom
raw total energy: -5.61 eV/atom

***

6.
Below is a relaxed Li4MgTa crystal, with properties calculated at the PBE level.

abc: 5.252 5.252 5.252
angles: 60.00 60.00 60.00
Atoms (fractional coordinates):
Li (0.376, 0.376, 0.376)
Li (0.376, 0.376, 0.872)
Li (0.376, 0.872, 0.376)
Li (0.872, 0.376, 0.376)
Mg (0.000, 0.000, 0.000)
Ta (0.750, 0.750, 0.750)

density of states at the Fermi level: 0.75 states/eV/atom
space group: F-43m
energy relative to the elements: 0.4719 eV/atom
raw total energy: -3.05 eV/atom

***

7.
Below is a relaxed LiMgTa3 crystal, with properties calculated at the PBE level.

abc: 4.482 4.482 4.482
angles: 90.00 90.00 90.00
Atoms (fractional coordinates):
Li (0.000, 0.000, 0.000)
Mg (0.500, 0.500, 0.500)
Ta (0.000, 0.000, 0.500)
Ta (0.000, 0.500, 0.000)
Ta (0.500, 0.000, 0.000)

energy above the lowest structure with this stoichiometry: 0 meV/atom
density of states at the Fermi level: 1.30 states/eV/atom
space group: Pm-3m
energy relative to the elements: 1.1150 eV/atom
raw total energy: -6.70 eV/atom

***

8.
Below is a relaxed Li3MgTa crystal, with properties calculated at the PBE level.

abc: 4.447 4.447 4.447
angles: 90.00 90.00 90.00
Atoms (fractional coordinates):
Li (0.000, 0.000, 0.500)
Li (0.000, 0.500, 0.000)
Li (0.500, 0.000, 0.000)
Mg (0.000, 0.000, 0.000)
Ta (0.500, 0.500, 0.500)

energy above the lowest structure with this stoichiometry: 0 meV/atom
density of states at the Fermi level: 0.85 states/eV/atom
space group: Pm-3m
energy relative to the elements: 1.1673 eV/atom
raw total energy: -2.67 eV/atom